(1)
The following is a DFT calculation (GGA-PBE) of an optimized crystal structure of ScP2Au2.

Output
Energy of formation (eV/atom): -0.072
Electronic total energy (eV/atom): -4.81

Cell: 4.008 4.008 11.817 Å, 90.00 90.00 90.00°
Space group I4/mmm (No. 139)
Inequivalent atoms, fractional coordinates:
Sc 0.000 0.000 0.000 [2 per cell]
P 0.000 0.500 0.250 [4 per cell]
Au 0.000 0.000 0.388 [4 per cell]

(2)
The following is a DFT calculation (GGA-PBE) of an optimized crystal structure of Zr2TeCl.

Output
Formation energy (no corrections) (eV/atom): -0.529
Relative energy among the computed polymorphs (eV/atom): 0.333
Electronic total energy (eV/atom): -6.05

Cell: 3.505 3.505 6.885 Å, 90.00 90.00 90.00°
Space group P4/mmm (No. 123)
Inequivalent atoms, fractional coordinates:
Zr 0.000 0.000 0.242 [2 per cell]
Te 0.500 0.500 0.000 [1 per cell]
Cl 0.500 0.500 0.500 [1 per cell]

(3)
The following is a DFT calculation (GGA-PBE) of an optimized crystal structure of ZrSn2Au.

Output
Energy of formation (eV/atom): -0.097
Relative energy among the computed polymorphs (eV/atom): 0.235
Electronic total energy (eV/atom): -5.05

Cell: 7.798 7.798 6.218 Å, 90.00 90.00 90.00°
Space group I-42d (No. 122)
Inequivalent atoms, fractional coordinates:
Zr 0.000 0.000 0.000 [4 per cell]
Sn 0.222 0.750 0.625 [8 per cell]
Au 0.000 0.000 0.500 [4 per cell]

(4)
The following is a DFT calculation (GGA-PBE) of an optimized crystal structure of Cu5Mo.

Output
Energy of formation (eV/atom): 0.270
Relative energy among the computed polymorphs (eV/atom): 0.192
Electronic total energy (eV/atom): -4.95

Cell: 3.870 10.779 3.673 Å, 90.00 90.00 90.00°
Space group Cmmm (No. 65)
Inequivalent atoms, fractional coordinates:
Cu 0.000 0.000 0.000 [2 per cell]
Cu 0.000 0.168 0.500 [4 per cell]
Cu 0.000 0.329 0.000 [4 per cell]
Mo 0.000 0.500 0.500 [2 per cell]